Here is Re2HgBr after structural relaxation from Alexandria via LeMat-Bulk. Energies are from PBE-GGA.

Structure (extended XYZ):
```
4
Lattice="4.852 0.000 0.000 0.000 3.687 -0.029 0.000 -0.660 5.363" Properties=species:S:1:pos:R:3 pbc="T T T"
Re 0.000 1.271 3.256
Re 0.000 -0.418 4.774
Hg 2.426 2.270 4.001
Br 2.426 0.757 1.334
```

Properties
As for the uncorrected formation energy: 1.076 eV per atom. The crystal system is monoclinic. The calculation puts the distance to the lowest polymorph of the same formula at 353 meV/atom. The calculation puts the total energy at -5.641 eV/atom.